VZn2Br8 | PBE | optimized geometry

Cell lengths 14.788, 7.928, 6.290 Å; angles 90.00, 90.43, 90.00 degrees
Space group C2/m (No. 12)
Asymmetric unit:
V (0.000, 0.000, 0.000) (multiplicity 2)
Zn (0.160, 0.000, 0.598) (multiplicity 4)
Br (0.063, 0.223, 0.761) (multiplicity 8)
Br (0.146, 0.000, 0.200) (multiplicity 4)
Br (0.187, 0.500, 0.320) (multiplicity 4)

Fermi-level density of states	0.30	states/eV per atom
formation energy from raw total energies	-0.74	eV/atom